# 1
# Ta2SeBrCl

A geometry-optimized Ta2SeBrCl structure (PBE, Alexandria via LeMat-Bulk).

V = 126.1 Å³/cell
E_form (uncorrected) = 1.085 eV/atom
Total magnetization = 0.000 μB per atom
Space-group type = P4/mmm, No. 123

```
data_Ta2SeBrCl
_chemical_formula_sum 'Ta2 Se1 Br1 Cl1'
_space_group_name_H-M_alt 'P 1'
_space_group_IT_number 1
_space_group_name_Hall 'P 1'
_cell_length_a 4.809
_cell_length_b 4.809
_cell_length_c 5.452
_cell_angle_alpha 90.00
_cell_angle_beta 90.00
_cell_angle_gamma 90.00
loop_
_atom_site_label
_atom_site_fract_x
_atom_site_fract_y
_atom_site_fract_z
Ta1 0.000 0.500 0.000
Ta2 0.500 0.000 0.000
Se1 0.000 0.000 0.000
Br1 0.500 0.500 0.500
Cl1 0.000 0.000 0.500
```

=====

# 2
# GeS3Br

A geometry-optimized GeS3Br structure (PBE, Alexandria via LeMat-Bulk).

V = 108.1 Å³/cell
E_form (uncorrected) = 0.682 eV/atom
Total magnetization = 0.000 μB per atom
Space-group type = Pm-3m, No. 221
Energy above the lowest structure with this stoichiometry = 0.000 eV per atom

```
data_GeS3Br
_chemical_formula_sum 'Ge1 S3 Br1'
_space_group_name_H-M_alt 'P 1'
_space_group_IT_number 1
_space_group_name_Hall 'P 1'
_cell_length_a 4.763
_cell_length_b 4.763
_cell_length_c 4.763
_cell_angle_alpha 90.00
_cell_angle_beta 90.00
_cell_angle_gamma 90.00
loop_
_atom_site_label
_atom_site_fract_x
_atom_site_fract_y
_atom_site_fract_z
Ge1 0.000 0.000 0.000
S1 0.000 0.000 0.500
S2 0.000 0.500 0.000
S3 0.500 0.000 0.000
Br1 0.500 0.500 0.500
```

=====

# 3
# PrHo5

A geometry-optimized PrHo5 structure (PBE, Alexandria via LeMat-Bulk).

V = 190.7 Å³/cell
Total magnetization = 0.000 μB per atom
Space-group type = Cmmm, No. 65
E_form = 23 meV per atom
Energy above the lowest structure with this stoichiometry = 0.008 eV per atom

```
data_PrHo5
_chemical_formula_sum 'Pr1 Ho5'
_space_group_name_H-M_alt 'P 1'
_space_group_IT_number 1
_space_group_name_Hall 'P 1'
_cell_length_a 7.949
_cell_length_b 7.949
_cell_length_c 5.032
_cell_angle_alpha 90.00
_cell_angle_beta 90.00
_cell_angle_gamma 143.14
loop_
_atom_site_label
_atom_site_fract_x
_atom_site_fract_y
_atom_site_fract_z
Pr1 0.000 0.000 0.000
Ho1 0.168 0.832 0.500
Ho2 0.332 0.668 0.000
Ho3 0.500 0.500 0.500
Ho4 0.668 0.332 0.000
Ho5 0.832 0.168 0.500
```

=====

# 4
# In6SnHg

A geometry-optimized In6SnHg structure (PBE, Alexandria via LeMat-Bulk).

V = 216.1 Å³/cell
Total magnetization = 0.000 μB per atom
Space-group type = P4/mmm, No. 123
E_form = 32 meV per atom

```
data_In6SnHg
_chemical_formula_sum 'In6 Sn1 Hg1'
_space_group_name_H-M_alt 'P 1'
_space_group_IT_number 1
_space_group_name_Hall 'P 1'
_cell_length_a 4.929
_cell_length_b 4.929
_cell_length_c 8.898
_cell_angle_alpha 90.00
_cell_angle_beta 90.00
_cell_angle_gamma 90.00
loop_
_atom_site_label
_atom_site_fract_x
_atom_site_fract_y
_atom_site_fract_z
In1 0.000 0.000 0.000
In2 0.000 0.000 0.500
In3 0.000 0.500 0.248
In4 0.000 0.500 0.752
In5 0.500 0.000 0.248
In6 0.500 0.000 0.752
Sn1 0.500 0.500 0.500
Hg1 0.500 0.500 0.000
```

=====

# 5
# Np2CdSb

A geometry-optimized Np2CdSb structure (PBE, Alexandria via LeMat-Bulk).

V = 99.2 Å³/cell
E_form (uncorrected) = 0.071 eV/atom
Total magnetization = 2.292 μB per atom
Space-group type = P4/mmm, No. 123

```
data_Np2CdSb
_chemical_formula_sum 'Np2 Cd1 Sb1'
_space_group_name_H-M_alt 'P 1'
_space_group_IT_number 1
_space_group_name_Hall 'P 1'
_cell_length_a 4.586
_cell_length_b 4.586
_cell_length_c 4.718
_cell_angle_alpha 90.00
_cell_angle_beta 90.00
_cell_angle_gamma 90.00
loop_
_atom_site_label
_atom_site_fract_x
_atom_site_fract_y
_atom_site_fract_z
Np1 0.000 0.500 0.000
Np2 0.500 0.000 0.000
Cd1 0.000 0.000 0.500
Sb1 0.500 0.500 0.500
```

=====

# 6
# CuI4N4

A geometry-optimized CuI4N4 structure (PBE, Alexandria via LeMat-Bulk).

V = 233.6 Å³/cell
E_form (uncorrected) = 1.274 eV/atom
Total magnetization = 0.000 μB per atom
Space-group type = C2/m, No. 12

```
data_CuI4N4
_chemical_formula_sum 'Cu1 I4 N4'
_space_group_name_H-M_alt 'P 1'
_space_group_IT_number 1
_space_group_name_Hall 'P 1'
_cell_length_a 5.984
_cell_length_b 5.984
_cell_length_c 8.808
_cell_angle_alpha 111.25
_cell_angle_beta 111.25
_cell_angle_gamma 54.17
loop_
_atom_site_label
_atom_site_fract_x
_atom_site_fract_y
_atom_site_fract_z
Cu1 0.000 0.000 0.000
I1 0.255 0.255 0.909
I2 0.362 0.362 0.489
I3 0.638 0.638 0.511
I4 0.745 0.745 0.091
N1 0.116 0.656 0.054
N2 0.344 0.884 0.946
N3 0.656 0.116 0.054
N4 0.884 0.344 0.946
```

=====

# 7
# LiCu2Ru

A geometry-optimized LiCu2Ru structure (PBE, Alexandria via LeMat-Bulk).

V = 52.7 Å³/cell
Total magnetization = 0.001 μB per atom
Space-group type = Cmmm, No. 65
E_form = 192 meV per atom
Energy above the lowest structure with this stoichiometry = 0.155 eV per atom

```
data_LiCu2Ru
_chemical_formula_sum 'Li1 Cu2 Ru1'
_space_group_name_H-M_alt 'P 1'
_space_group_IT_number 1
_space_group_name_Hall 'P 1'
_cell_length_a 2.572
_cell_length_b 2.572
_cell_length_c 8.897
_cell_angle_alpha 90.00
_cell_angle_beta 90.00
_cell_angle_gamma 116.49
loop_
_atom_site_label
_atom_site_fract_x
_atom_site_fract_y
_atom_site_fract_z
Li1 0.000 0.000 0.000
Cu1 0.500 0.500 0.245
Cu2 0.500 0.500 0.755
Ru1 0.000 0.000 0.500
```

=====

# 8
# Sc2AgI

A geometry-optimized Sc2AgI structure (PBE, Alexandria via LeMat-Bulk).

V = 131.0 Å³/cell
E_form (uncorrected) = -0.174 eV/atom
Total magnetization = 0.000 μB per atom
Space-group type = R-3m, No. 166
Energy above the lowest structure with this stoichiometry = 0.000 eV per atom

```
data_Sc2AgI
_chemical_formula_sum 'Sc2 Ag1 I1'
_space_group_name_H-M_alt 'P 1'
_space_group_IT_number 1
_space_group_name_Hall 'P 1'
_cell_length_a 8.499
_cell_length_b 8.499
_cell_length_c 8.499
_cell_angle_alpha 29.41
_cell_angle_beta 29.41
_cell_angle_gamma 29.41
loop_
_atom_site_label
_atom_site_fract_x
_atom_site_fract_y
_atom_site_fract_z
Sc1 0.117 0.117 0.117
Sc2 0.883 0.883 0.883
Ag1 0.500 0.500 0.500
I1 0.000 0.000 0.000
```

=====

# 9
# Ba2PRu

A geometry-optimized Ba2PRu structure (PBE, Alexandria via LeMat-Bulk).

V = 114.1 Å³/cell
Total magnetization = 0.242 μB per atom
Space-group type = P4mm, No. 99
E_form = -11 meV per atom

```
data_Ba2PRu
_chemical_formula_sum 'Ba2 P1 Ru1'
_space_group_name_H-M_alt 'P 1'
_space_group_IT_number 1
_space_group_name_Hall 'P 1'
_cell_length_a 3.443
_cell_length_b 3.443
_cell_length_c 9.631
_cell_angle_alpha 90.00
_cell_angle_beta 90.00
_cell_angle_gamma 90.00
loop_
_atom_site_label
_atom_site_fract_x
_atom_site_fract_y
_atom_site_fract_z
Ba1 0.000 0.000 0.000
Ba2 0.500 0.500 0.426
P1 0.000 0.000 0.666
Ru1 0.500 0.500 0.748
```

=====

# 10
# CsBa2N

A geometry-optimized CsBa2N structure (PBE, Alexandria via LeMat-Bulk).

V = 181.8 Å³/cell
E_form (uncorrected) = -0.182 eV/atom
Total magnetization = 0.307 μB per atom
Space-group type = R-3m, No. 166

```
data_CsBa2N
_chemical_formula_sum 'Cs1 Ba2 N1'
_space_group_name_H-M_alt 'P 1'
_space_group_IT_number 1
_space_group_name_Hall 'P 1'
_cell_length_a 12.321
_cell_length_b 12.321
_cell_length_c 12.321
_cell_angle_alpha 19.48
_cell_angle_beta 19.48
_cell_angle_gamma 19.48
loop_
_atom_site_label
_atom_site_fract_x
_atom_site_fract_y
_atom_site_fract_z
Cs1 0.000 0.000 0.000
Ba1 0.126 0.126 0.126
Ba2 0.874 0.874 0.874
N1 0.500 0.500 0.500
```

=====

# 11
# KBe3

A geometry-optimized KBe3 structure (PBE, Alexandria via LeMat-Bulk).

V = 68.9 Å³/cell
Total magnetization = 0.000 μB per atom
Space-group type = Cmmm, No. 65
E_form = 1383 meV per atom
Energy above the lowest structure with this stoichiometry = 0.885 eV per atom

```
data_KBe3
_chemical_formula_sum 'K1 Be3'
_space_group_name_H-M_alt 'P 1'
_space_group_IT_number 1
_space_group_name_Hall 'P 1'
_cell_length_a 5.540
_cell_length_b 5.540
_cell_length_c 2.452
_cell_angle_alpha 90.00
_cell_angle_beta 90.00
_cell_angle_gamma 113.69
loop_
_atom_site_label
_atom_site_fract_x
_atom_site_fract_y
_atom_site_fract_z
K1 0.000 0.000 0.000
Be1 0.000 0.500 0.500
Be2 0.500 0.000 0.500
Be3 0.500 0.500 0.000
```

=====

# 12
# Sc2Ag2Rh

A geometry-optimized Sc2Ag2Rh structure (PBE, Alexandria via LeMat-Bulk).

V = 191.5 Å³/cell
Total magnetization = 0.000 μB per atom
Space-group type = P4/mbm, No. 127
E_form = -172 meV per atom
Energy above the lowest structure with this stoichiometry = 0.000 eV per atom

```
data_Sc2Ag2Rh
_chemical_formula_sum 'Sc4 Ag4 Rh2'
_space_group_name_H-M_alt 'P 1'
_space_group_IT_number 1
_space_group_name_Hall 'P 1'
_cell_length_a 7.354
_cell_length_b 7.354
_cell_length_c 3.542
_cell_angle_alpha 90.00
_cell_angle_beta 90.00
_cell_angle_gamma 90.00
loop_
_atom_site_label
_atom_site_fract_x
_atom_site_fract_y
_atom_site_fract_z
Sc1 0.178 0.322 0.000
Sc2 0.322 0.822 0.000
Sc3 0.678 0.178 0.000
Sc4 0.822 0.678 0.000
Ag1 0.128 0.628 0.500
Ag2 0.372 0.128 0.500
Ag3 0.628 0.872 0.500
Ag4 0.872 0.372 0.500
Rh1 0.000 0.000 0.500
Rh2 0.500 0.500 0.500
```